i.
Y2ZnHg: single point on PBEsol structure, SCAN.

The structure in CIF format:
```
data_Y2ZnHg
_chemical_formula_sum 'Y8 Zn4 Hg4'
_cell_length_a 7.2027
_cell_length_b 7.2027
_cell_length_c 7.2027
_cell_angle_alpha 90.00
_cell_angle_beta 90.00
_cell_angle_gamma 90.00
_symmetry_space_group_name_H-M 'F m -3 m'
_symmetry_Int_Tables_number 225
_symmetry_space_group_name_Hall '-F 4 2 3'
loop_
_atom_site_label
_atom_site_fract_x
_atom_site_fract_y
_atom_site_fract_z
Y1 0.2500 0.2500 0.2500
Zn1 0.0000 0.0000 0.0000
Hg1 0.0000 0.0000 0.5000
```



ii.
Y2ZnHg: single point on PBEsol structure, SCAN.

The structure in CIF format:
```
data_Y2ZnHg
_chemical_formula_sum 'Y2 Zn1 Hg1'
_cell_length_a 3.6298
_cell_length_b 5.0667
_cell_length_c 5.0673
_cell_angle_alpha 90.00
_cell_angle_beta 90.00
_cell_angle_gamma 90.00
_symmetry_space_group_name_H-M 'P m m 2'
_symmetry_Int_Tables_number 25
loop_
_symmetry_equiv_pos_as_xyz
'x,y,z'
'-x,-y,z'
'-x,y,z'
'x,-y,z'
loop_
_atom_site_label
_atom_site_fract_x
_atom_site_fract_y
_atom_site_fract_z
Y1 0.0000 0.0000 0.0000
Y2 0.0000 0.5000 0.4989
Zn1 0.5000 0.0000 0.5003
Hg1 0.5000 0.5000 0.9984
```



iii.
Y2ZnHg: single point on PBEsol structure, SCAN.

The structure in CIF format:
```
data_Y2ZnHg
_chemical_formula_sum 'Y8 Zn4 Hg4'
_cell_length_a 7.1300
_cell_length_b 7.1300
_cell_length_c 7.1300
_cell_angle_alpha 90.00
_cell_angle_beta 90.00
_cell_angle_gamma 90.00
_symmetry_space_group_name_H-M 'F -4 3 m'
_symmetry_Int_Tables_number 216
_symmetry_space_group_name_Hall 'F -4 2 3'
loop_
_atom_site_label
_atom_site_fract_x
_atom_site_fract_y
_atom_site_fract_z
Y1 0.0000 0.0000 0.0000
Y2 0.2500 0.2500 0.2500
Zn1 0.0000 0.0000 0.5000
Hg1 0.2500 0.2500 0.7500
```



Q: What are the energies relative to the best structure? A: i 0; ii 6; iii 577, in meV per atom.



i.
Zr4Hg5: single point on PBEsol structure, SCAN.

The structure in CIF format:
```
data_Zr4Hg5
_chemical_formula_sum 'Zr8 Hg10'
_cell_length_a 8.5785
_cell_length_b 8.5785
_cell_length_c 5.8896
_cell_angle_alpha 90.00
_cell_angle_beta 90.00
_cell_angle_gamma 120.00
_symmetry_space_group_name_H-M 'P 63/m c m'
_symmetry_Int_Tables_number 193
_symmetry_space_group_name_Hall '-P 6c 2'
loop_
_atom_site_label
_atom_site_fract_x
_atom_site_fract_y
_atom_site_fract_z
Zr1 0.0000 0.0000 0.0000
Zr2 0.0000 0.3501 0.2500
Hg1 0.0000 0.3166 0.7500
Hg2 0.3333 0.6667 0.0000
```



ii.
Zr4Hg5: single point on PBEsol structure, SCAN.

The structure in CIF format:
```
data_Zr4Hg5
_chemical_formula_sum 'Zr8 Hg10'
_cell_length_a 9.5469
_cell_length_b 9.5469
_cell_length_c 4.1586
_cell_angle_alpha 90.00
_cell_angle_beta 90.00
_cell_angle_gamma 90.00
_symmetry_space_group_name_H-M 'I 4/m m m'
_symmetry_Int_Tables_number 139
_symmetry_space_group_name_Hall '-I 4 2'
loop_
_atom_site_label
_atom_site_fract_x
_atom_site_fract_y
_atom_site_fract_z
Zr1 0.0000 0.3287 0.0000
Hg1 0.0000 0.0000 0.0000
Hg2 0.1702 0.1702 0.5000
```



Q: What are the energies relative to the best structure? A: i 0; ii 62, in meV per atom.



i.
Zr2Hg3: single point on PBEsol structure, SCAN.

The structure in CIF format:
```
data_Zr2Hg3
_chemical_formula_sum 'Zr6 Hg9'
_cell_length_a 3.1680
_cell_length_b 3.1680
_cell_length_c 36.7853
_cell_angle_alpha 90.00
_cell_angle_beta 90.00
_cell_angle_gamma 120.00
_symmetry_space_group_name_H-M 'R -3 m'
_symmetry_Int_Tables_number 166
_symmetry_space_group_name_Hall '-R 3 2"'
loop_
_atom_site_label
_atom_site_fract_x
_atom_site_fract_y
_atom_site_fract_z
Zr1 0.0000 0.0000 0.0996
Hg1 0.0000 0.0000 0.2998
Hg2 0.0000 0.0000 0.5000
```



ii.
Zr2Hg3: single point on PBEsol structure, SCAN.

The structure in CIF format:
```
data_Zr2Hg3
_chemical_formula_sum 'Zr16 Hg24'
_cell_length_a 9.9937
_cell_length_b 14.4589
_cell_length_c 5.8117
_cell_angle_alpha 90.00
_cell_angle_beta 90.00
_cell_angle_gamma 90.00
_symmetry_space_group_name_H-M 'F d d 2'
_symmetry_Int_Tables_number 43
_symmetry_space_group_name_Hall 'F 2 -2d'
loop_
_atom_site_label
_atom_site_fract_x
_atom_site_fract_y
_atom_site_fract_z
Zr1 0.0589 0.1956 0.0000
Hg1 0.0000 0.0000 0.1118
Hg2 0.0611 0.1101 0.5276
```



Q: What are the energies relative to the best structure? A: i 120; ii 0, in meV per atom.